# Ti2MoO (PBE with a Hubbard U, relaxed)
data_Ti2MoO
_cell_length_a 6.013
_cell_length_b 6.013
_cell_length_c 7.624
_cell_angle_alpha 90.00
_cell_angle_beta 90.00
_cell_angle_gamma 90.00
_space_group_name_H-M_alt 'I -4 2 d'
_space_group_IT_number 122
_space_group_name_Hall 'I -4 2bw'
loop_
_atom_site_label
_atom_site_type_symbol
_atom_site_fract_x
_atom_site_fract_y
_atom_site_fract_z
Ti1 Ti 0.121 0.250 0.125
Mo1 Mo 0.000 0.000 0.500
O1 O 0.000 0.000 0.000
# Total magnetization: 8.1 Bohr magnetons per cell
# Calculated total energy: -120.0 eV/cell